# 1
Density functional theory data (PBE) for crystalline Ce2SCl2O at its relaxed geometry.

The structure in POSCAR format:
```
Ce2SCl2O
1.0
-0.993 -3.668 -1.122
5.857 -0.028 -5.088
5.016 -3.129 5.792
Ce S Cl O
4 2 4 2
Direct
0.000 0.239 0.825 Ce
0.500 0.244 0.424 Ce
0.000 0.739 0.175 Ce
0.500 0.744 0.576 Ce
0.000 0.979 0.444 S
0.000 0.479 0.556 S
0.500 0.035 0.090 Cl
0.000 0.358 0.179 Cl
0.500 0.535 0.910 Cl
0.000 0.858 0.821 Cl
0.500 0.191 0.698 O
0.500 0.691 0.302 O
```

Density of states at the Fermi level: 2.15 states/eV per atom
E_form (uncorrected): -14.9 eV per formula unit
E: -6.5858 eV per atom
Total moment: 3.82 Bohr magnetons per cell
Symmetry: Pmc2_1, No. 26

# 2
Density functional theory data (PBE) for crystalline CeS2ClO8 at its relaxed geometry.

The structure in POSCAR format:
```
CeS2ClO8
1.0
-5.886 -1.163 -0.480
-1.874 -3.164 -4.765
0.667 -5.010 2.964
Ce S Cl O
1 2 1 8
Direct
0.000 0.000 0.000 Ce
0.662 0.662 0.253 S
0.338 0.338 0.747 S
0.000 0.000 0.500 Cl
0.605 0.218 0.829 O
0.790 0.790 0.127 O
0.675 0.675 0.497 O
0.325 0.325 0.503 O
0.210 0.210 0.873 O
0.218 0.605 0.829 O
0.782 0.395 0.171 O
0.395 0.782 0.171 O
```

Density of states at the Fermi level: 0.38 states/eV per atom
E_form (uncorrected): -19.3 eV per formula unit
E: -6.2501 eV per atom
Total moment: 1.09 Bohr magnetons per cell
Symmetry: C2/m, No. 12

# 3
Density functional theory data (PBE) for crystalline CeSeClO4 at its relaxed geometry.

The structure in POSCAR format:
```
CeSeClO4
1.0
6.313 -0.041 -0.136
2.053 5.970 -0.136
1.556 1.103 6.615
Ce Se Cl O
2 2 2 8
Direct
0.226 0.226 0.868 Ce
0.774 0.774 0.132 Ce
0.637 0.637 0.731 Se
0.363 0.363 0.269 Se
0.021 0.021 0.231 Cl
0.979 0.979 0.769 Cl
0.278 0.278 0.509 O
0.722 0.722 0.491 O
0.137 0.489 0.140 O
0.529 0.529 0.243 O
0.511 0.863 0.860 O
0.489 0.137 0.140 O
0.471 0.471 0.757 O
0.863 0.511 0.860 O
```

Density of states at the Fermi level: 0.87 states/eV per atom
E_form (uncorrected): -11.6 eV per formula unit
E: -6.1053 eV per atom
Total moment: 2.04 Bohr magnetons per cell
Symmetry: C2/m, No. 12

# 4
Density functional theory data (PBE) for crystalline CeTaClO4 at its relaxed geometry.

The structure in POSCAR format:
```
CeTaClO4
1.0
-3.168 -2.206 -5.263
3.996 -3.351 -3.925
-1.284 -6.742 1.106
Ce Ta Cl O
2 2 2 8
Direct
0.231 0.231 0.860 Ce
0.769 0.769 0.140 Ce
0.629 0.629 0.760 Ta
0.371 0.371 0.240 Ta
0.004 0.004 0.233 Cl
0.996 0.996 0.767 Cl
0.319 0.319 0.524 O
0.681 0.681 0.476 O
0.086 0.488 0.172 O
0.558 0.558 0.144 O
0.512 0.914 0.828 O
0.488 0.086 0.172 O
0.442 0.442 0.856 O
0.914 0.512 0.828 O
```

E_form (uncorrected): -19.7 eV per formula unit
E: -8.4556 eV per atom
Total moment: 0.00 Bohr magnetons per cell
Symmetry: C2/m, No. 12

# 5
Density functional theory data (PBE) for crystalline CeTcClO4 at its relaxed geometry.

The structure in POSCAR format:
```
CeTcClO4
1.0
-5.629 3.011 0.579
-4.622 -4.141 1.605
-0.618 0.902 6.893
Ce Tc Cl O
2 2 2 8
Direct
0.226 0.226 0.891 Ce
0.774 0.774 0.109 Ce
0.636 0.636 0.721 Tc
0.364 0.364 0.279 Tc
0.010 0.010 0.234 Cl
0.990 0.990 0.766 Cl
0.287 0.287 0.538 O
0.713 0.713 0.462 O
0.119 0.486 0.145 O
0.539 0.539 0.217 O
0.514 0.881 0.855 O
0.486 0.119 0.145 O
0.461 0.461 0.783 O
0.881 0.514 0.855 O
```

Density of states at the Fermi level: 0.54 states/eV per atom
E_form (uncorrected): -14.6 eV per formula unit
E: -7.5056 eV per atom
Total moment: 4.09 Bohr magnetons per cell
Symmetry: C2/m, No. 12

# 6
Density functional theory data (PBE) for crystalline CeTeClO4 at its relaxed geometry.

The structure in POSCAR format:
```
CeTeClO4
1.0
6.433 0.068 -0.073
2.195 6.048 -0.073
1.681 1.191 6.835
Ce Te Cl O
2 2 2 8
Direct
0.228 0.228 0.879 Ce
0.772 0.772 0.121 Ce
0.637 0.637 0.718 Te
0.363 0.363 0.282 Te
0.015 0.015 0.221 Cl
0.985 0.985 0.779 Cl
0.269 0.269 0.549 O
0.731 0.731 0.451 O
0.114 0.487 0.139 O
0.550 0.550 0.224 O
0.513 0.886 0.861 O
0.487 0.114 0.139 O
0.450 0.450 0.776 O
0.886 0.513 0.861 O
```

Density of states at the Fermi level: 0.50 states/eV per atom
E_form (uncorrected): -12.4 eV per formula unit
E: -6.1707 eV per atom
Total moment: 0.00 Bohr magnetons per cell
Symmetry: C2/m, No. 12

# 7
Density functional theory data (PBE) for crystalline CeTl2Cl2O2 at its relaxed geometry.

The structure in POSCAR format:
```
CeTl2Cl2O2
1.0
-0.715 -0.018 -4.379
0.179 -4.433 -0.011
-8.283 1.877 3.593
Ce Tl Cl O
1 2 2 2
Direct
0.000 0.000 0.000 Ce
0.369 0.369 0.737 Tl
0.631 0.631 0.263 Tl
0.166 0.166 0.331 Cl
0.834 0.834 0.669 Cl
0.000 0.500 0.000 O
0.500 0.000 0.000 O
```

Density of states at the Fermi level: 0.00 states/eV per atom
E_form (uncorrected): -13.2 eV per formula unit
E: -5.3585 eV per atom
Total moment: 0.00 Bohr magnetons per cell
Symmetry: I4/mmm, No. 139